{"formula": "Nd8As4P3S", "functional": "PBE", "state": "optimized geometry", "magnetic_moment_mub_per_atom": 0.0000, "formation_energy_uncorrected_ev_per_atom": -1.61, "final_energy_ev_per_atom": -6.43, "n_ef_per_ev_fu": 3.7, "volume_a3_per_atom": 26.4, "lattice_angstrom": [[-1.203, 6.289, 5.470], [-3.535, -5.390, 5.420], [7.707, -1.526, -3.034]], "species": ["Nd", "Nd", "Nd", "Nd", "Nd", "Nd", "Nd", "Nd", "As", "As", "As", "As", "P", "P", "P", "S"], "fractional_positions": [[0.254, 0.255, 0.005], [0.250, 0.745, 0.500], [0.252, 0.256, 0.504], [0.250, 0.745, 0.995], [0.750, 0.255, 0.500], [0.746, 0.745, 0.995], [0.750, 0.255, 0.005], [0.748, 0.744, 0.496], [0.500, 0.000, 0.500], [0.000, 0.000, 0.500], [0.000, 0.000, 0.000], [0.500, 0.000, 0.000], [0.500, 0.500, 0.000], [0.000, 0.500, 0.500], [0.500, 0.500, 0.500], [0.000, 0.500, 0.000]]}